[1]
12
Lattice="-2.961 5.308 5.485 2.961 -5.308 5.485 2.961 5.308 -5.485" Properties=species:S:1:pos:R:3 comment="PBE Tb3ErSc8, optimized geometry" delta_e_f_mev_per_atom=289 mass_density_g_cm3=4.8 sg="No. 71" e_tot_ev_per_atom=-5.47 pbc="T T T"
Tb 0.000 0.000 0.000
Tb 2.961 2.671 0.000
Tb 0.000 2.637 5.485
Er 0.000 5.308 0.000
Sc 2.961 -2.650 3.555
Sc 1.486 5.308 -2.729
Sc 1.476 0.000 2.756
Sc 0.000 2.658 1.930
Sc 2.961 2.650 3.555
Sc 1.486 5.308 2.729
Sc 1.476 0.000 8.215
Sc 0.000 7.958 1.930

[2]
22
Lattice="2.782 -4.771 0.000 2.782 4.771 0.000 0.000 0.000 25.437" Properties=species:S:1:pos:R:3 comment="PBE Tb4Er6Sc, optimized geometry" delta_e_f_mev_per_atom=136 mass_density_g_cm3=8.3 sg="No. 63" e_tot_ev_per_atom=-4.61 pbc="T T T"
Tb 2.782 4.668 15.817
Tb 2.782 4.668 22.339
Tb 2.782 1.556 13.835
Tb 2.782 1.556 24.321
Tb 2.782 -1.556 1.116
Tb 2.782 -1.556 11.602
Tb 2.782 -4.668 3.098
Tb 2.782 -4.668 9.620
Er 0.000 0.000 0.000
Er 0.000 0.000 12.719
Er 2.782 4.690 19.078
Er 2.782 1.675 2.744
Er 2.782 1.675 9.974
Er 2.782 1.504 17.378
Er 2.782 1.504 20.778
Er 2.782 -1.504 4.659
Er 2.782 -1.504 8.059
Er 2.782 -1.675 15.463
Er 2.782 -1.675 22.693
Er 2.782 -4.690 6.359
Sc 2.782 1.668 6.359
Sc 2.782 -1.668 19.078

[3]
20
Lattice="3.482 0.000 0.000 0.000 17.132 0.000 0.000 0.000 10.490" Properties=species:S:1:pos:R:3 comment="PBE Tb3ErSc, optimized geometry" delta_e_f_mev_per_atom=162 mass_density_g_cm3=7.3 sg="No. 57" e_tot_ev_per_atom=-4.80 pbc="T T T"
Tb 0.861 4.283 0.000
Tb 0.861 4.283 5.245
Tb 0.875 9.884 0.621
Tb 0.875 9.884 4.624
Tb 0.875 15.815 5.866
Tb 0.875 15.815 9.869
Tb 2.606 1.318 0.621
Tb 2.606 1.318 4.624
Tb 2.606 7.248 5.866
Tb 2.606 7.248 9.869
Tb 2.621 12.849 0.000
Tb 2.621 12.849 5.245
Er 0.859 1.760 7.867
Er 0.859 6.806 2.622
Er 2.622 10.326 7.867
Er 2.622 15.372 2.622
Sc 0.883 12.456 2.622
Sc 0.883 13.242 7.867
Sc 2.599 3.890 2.622
Sc 2.599 4.676 7.867